The following is a DFT calculation (GGA-PBE) of an optimized crystal structure of CdBi.

Properties
Raw total energy, eV per formula unit: -4.5
Volume, Å³/atom: 37.412
Crystal system: cubic

Cell and atoms, written as CIF:
```
data_CdBi
_space_group_name_H-M_alt 'P 1'
_space_group_IT_number 1
_cell_length_a 4.730
_cell_length_b 4.730
_cell_length_c 4.730
_cell_angle_alpha 60.00
_cell_angle_beta 60.00
_cell_angle_gamma 60.00
loop_
_space_group_symop_operation_xyz
'x,y,z'
loop_
_atom_site_label
_atom_site_type_symbol
_atom_site_fract_x
_atom_site_fract_y
_atom_site_fract_z
Cd1 Cd 0.250 0.250 0.250
Bi1 Bi 0.000 0.000 0.000
```